No. 1
# BaSn3Pt | the Alexandria database | PBE | relaxed
data_BaSn3Pt
_cell_length_a 6.262
_cell_length_b 6.892
_cell_length_c 6.386
_cell_angle_alpha 90.00
_cell_angle_beta 92.37
_cell_angle_gamma 90.00
_symmetry_space_group_name_H-M 'P 1'
_symmetry_Int_Tables_number 1
loop_
_symmetry_equiv_pos_as_xyz
'x,y,z'
loop_
_atom_site_label
_atom_site_type_symbol
_atom_site_fract_x
_atom_site_fract_y
_atom_site_fract_z
Ba1 Ba 0.143 0.250 0.182
Ba2 Ba 0.857 0.750 0.818
Sn1 Sn 0.096 0.750 0.345
Sn2 Sn 0.359 0.014 0.709
Sn3 Sn 0.359 0.486 0.709
Sn4 Sn 0.641 0.514 0.291
Sn5 Sn 0.641 0.986 0.291
Sn6 Sn 0.904 0.250 0.655
Pt1 Pt 0.363 0.750 0.030
Pt2 Pt 0.637 0.250 0.970
# VASP energy = -45.6 eV/cell
# Spin magnetization = 0.000 μB per cell
# Space group = P2_1/m
# DFT formation energy = -0.56 eV per atom

No. 2
# MnRe2P | the Alexandria database | PBE | relaxed
data_MnRe2P
_cell_length_a 4.965
_cell_length_b 4.965
_cell_length_c 4.965
_cell_angle_alpha 146.82
_cell_angle_beta 129.15
_cell_angle_gamma 62.07
_symmetry_space_group_name_H-M 'P 1'
_symmetry_Int_Tables_number 1
loop_
_symmetry_equiv_pos_as_xyz
'x,y,z'
loop_
_atom_site_label
_atom_site_type_symbol
_atom_site_fract_x
_atom_site_fract_y
_atom_site_fract_z
Mn1 Mn 0.000 0.000 0.000
Re1 Re 0.275 0.775 0.500
Re2 Re 0.560 0.560 0.000
P1 P 0.793 0.293 0.500
# VASP energy = -40.0 eV/cell
# Spin magnetization = 0.001 μB per cell
# Space group = Imm2
# DFT formation energy = -0.13 eV per atom

No. 3
# Li2Tl3Pd7 | the Alexandria database | PBE | relaxed
data_Li2Tl3Pd7
_cell_length_a 4.821
_cell_length_b 4.821
_cell_length_c 9.693
_cell_angle_alpha 108.11
_cell_angle_beta 108.11
_cell_angle_gamma 75.42
_symmetry_space_group_name_H-M 'P 1'
_symmetry_Int_Tables_number 1
loop_
_symmetry_equiv_pos_as_xyz
'x,y,z'
loop_
_atom_site_label
_atom_site_type_symbol
_atom_site_fract_x
_atom_site_fract_y
_atom_site_fract_z
Li1 Li 0.167 0.167 0.335
Li2 Li 0.833 0.833 0.665
Tl1 Tl 0.000 0.000 0.000
Tl2 Tl 0.335 0.335 0.668
Tl3 Tl 0.665 0.665 0.332
Pd1 Pd 0.085 0.585 0.170
Pd2 Pd 0.250 0.750 0.500
Pd3 Pd 0.415 0.915 0.830
Pd4 Pd 0.500 0.500 0.000
Pd5 Pd 0.585 0.085 0.170
Pd6 Pd 0.750 0.250 0.500
Pd7 Pd 0.915 0.415 0.830
# VASP energy = -51.4 eV/cell
# Spin magnetization = 0.000 μB per cell
# Space group = C2/m
# DFT formation energy = -0.34 eV per atom